First-principles (GGA-PBE) data for an optimized crystal structure of NbTl3P, as listed in the Alexandria database.

For the formation enthalpy at 0 K, the calculation gives 1.12 eV/atom.

The space group is Pm-3m (No. 221) and the conventional cell measures 5.278, 5.278 and 5.278 Å, with angles of 90.00, 90.00 and 90.00 degrees. The inequivalent atoms are Nb at (0.000, 0.000, 0.000), Tl at (0.000, 0.500, 0.500) and P at (0.500, 0.500, 0.500).



First-principles (GGA-PBE) data for an optimized crystal structure of Sr2SiBr, as listed in the Alexandria database.

Its raw formation energy is -0.8331 eV per atom.

The space group is Imm2 (No. 44) and the conventional cell measures 4.005, 4.131 and 16.497 Å, with angles of 90.00, 90.00 and 90.00 degrees. The inequivalent atoms are Sr at (0.000, 0.000, 0.000), Sr at (0.000, 0.500, 0.277), Si at (0.000, 0.500, 0.862) and Br at (0.000, 0.000, 0.605).



First-principles (GGA-PBE) data for an optimized crystal structure of Tl2GaBr3, as listed in the Alexandria database.

Its raw formation energy is -0.7446 eV per atom.

The space group is Immm (No. 71) and the conventional cell measures 4.631, 6.629 and 14.103 Å, with angles of 90.00, 90.00 and 90.00 degrees. The inequivalent atoms are Tl at (0.000, 0.000, 0.168), Ga at (0.000, 0.000, 0.500), Br at (0.000, 0.500, 0.154) and Br at (0.000, 0.500, 0.500).



First-principles (GGA-PBE) data for an optimized crystal structure of Nd2Be4Si3Pt, as listed in the Alexandria database.

Its raw formation energy is -0.5598 eV per atom.

The space group is P-4m2 (No. 115) and the conventional cell measures 3.932, 3.932 and 9.925 Å, with angles of 90.00, 90.00 and 90.00 degrees. The inequivalent atoms are Nd at (0.000, 0.500, 0.242), Be at (0.000, 0.000, 0.000), Be at (0.000, 0.500, 0.632), Be at (0.500, 0.500, 0.000), Si at (0.000, 0.500, 0.871), Si at (0.500, 0.500, 0.500) and Pt at (0.000, 0.000, 0.500).



First-principles (GGA-PBE) data for an optimized crystal structure of SrY2ReO8, as listed in the Alexandria database.

Its raw formation energy is -2.4763 eV per atom.

The space group is P2/m (No. 10) and the conventional cell measures 5.008, 7.190 and 5.027 Å, with angles of 90.00, 90.58 and 90.00 degrees. The inequivalent atoms are Sr at (0.000, 0.000, 0.000), Y at (0.500, 0.266, 0.500), Re at (0.000, 0.500, 0.000), O at (0.188, 0.310, 0.821), O at (0.269, 0.500, 0.278) and O at (0.326, 0.000, 0.351).



First-principles (GGA-PBE) data for an optimized crystal structure of Ta6Nb3Os, as listed in the Alexandria database.

For the formation enthalpy at 0 K, the calculation gives -0.13 eV/atom.

The space group is P2_1/m (No. 11) and the conventional cell measures 8.070, 4.650 and 9.811 Å, with angles of 90.00, 105.39 and 90.00 degrees. The inequivalent atoms are Ta at (0.050, 0.250, 0.394), Ta at (0.145, 0.750, 0.193), Ta at (0.149, 0.250, 0.700), Ta at (0.242, 0.250, 0.001), Ta at (0.345, 0.750, 0.805), Ta at (0.450, 0.250, 0.601), Nb at (0.246, 0.750, 0.498), Nb at (0.351, 0.250, 0.300), Nb at (0.453, 0.750, 0.101) and Os at (0.050, 0.750, 0.902).



First-principles (GGA-PBE) data for an optimized crystal structure of AcPrHoHg, as listed in the Alexandria database.

For the formation enthalpy at 0 K, the calculation gives 0.03 eV/atom.

The space group is F-43m (No. 216) and the conventional cell measures 7.988, 7.988 and 7.988 Å, with angles of 90.00, 90.00 and 90.00 degrees. The inequivalent atoms are Ac at (0.000, 0.000, 0.000), Pr at (0.250, 0.250, 0.750), Ho at (0.250, 0.250, 0.250) and Hg at (0.000, 0.000, 0.500).



First-principles (GGA-PBE) data for an optimized crystal structure of Ho4ZnAg3, as listed in the Alexandria database.

For the formation enthalpy at 0 K, the calculation gives -0.34 eV/atom.

The space group is P4/mmm (No. 123) and the conventional cell measures 3.587, 3.587 and 14.506 Å, with angles of 90.00, 90.00 and 90.00 degrees. The inequivalent atoms are Ho at (0.000, 0.000, 0.120), Ho at (0.000, 0.000, 0.373), Zn at (0.500, 0.500, 0.000), Ag at (0.500, 0.500, 0.246) and Ag at (0.500, 0.500, 0.500).



First-principles (GGA-PBE) data for an optimized crystal structure of TcH2I8, as listed in the Alexandria database.

The calculation puts the calculated total energy at -2.64 eV per atom.

The space group is P-1 (No. 2) and the conventional cell measures 6.093, 8.348 and 8.356 Å, with angles of 80.81, 80.42 and 83.23 degrees. The inequivalent atoms are Tc at (0.000, 0.000, 0.000), H at (0.257, 0.808, 0.642), I at (0.207, 0.227, 0.100), I at (0.226, 0.604, 0.635), I at (0.245, 0.057, 0.690) and I at (0.306, 0.762, 0.102).



First-principles (GGA-PBE) data for an optimized crystal structure of Li8Mg3Ga2, as listed in the Alexandria database.

For the formation enthalpy at 0 K, the calculation gives -0.11 eV/atom.

The space group is P2/m (No. 10) and the conventional cell measures 7.006, 4.664 and 7.844 Å, with angles of 90.00, 107.27 and 90.00 degrees. The inequivalent atoms are Li at (0.022, 0.000, 0.336), Li at (0.080, 0.500, 0.866), Li at (0.373, 0.500, 0.201), Li at (0.388, 0.000, 0.832), Mg at (0.229, 0.500, 0.535), Mg at (0.500, 0.000, 0.500) and Ga at (0.188, 0.000, 0.077).



First-principles (GGA-PBE) data for an optimized crystal structure of TaAsPb2, as listed in the Alexandria database.

For the formation enthalpy at 0 K, the calculation gives 0.60 eV/atom.

The space group is P4/mmm (No. 123) and the conventional cell measures 3.041, 3.041 and 10.662 Å, with angles of 90.00, 90.00 and 90.00 degrees. The inequivalent atoms are Ta at (0.000, 0.000, 0.000), As at (0.000, 0.000, 0.500) and Pb at (0.500, 0.500, 0.229).



First-principles (GGA-PBE) data for an optimized crystal structure of BSeI2, as listed in the Alexandria database.

Its raw formation energy is 0.0385 eV per atom.

The space group is P1 (No. 1) and the conventional cell measures 3.208, 6.615 and 7.307 Å, with angles of 75.03, 77.54 and 89.98 degrees. The inequivalent atoms are B at (0.000, 0.000, 0.000), Se at (0.449, 0.102, 0.104), I at (0.101, 0.817, 0.793) and I at (0.781, 0.497, 0.447).